[1]
V2O3 after structural relaxation, computed with PBE with a Hubbard U.

a b c (Å): 3.1007 6.9292 7.6257
angles (deg): 81.11 89.90 77.12
Positions (direct):
V 0.0000 0.0000 0.0000
V 0.0255 0.9309 0.6368
V 0.2975 0.3677 0.6889
V 0.3664 0.2320 0.3210
V 0.6579 0.6677 0.3735
V 0.6984 0.5993 0.0101
O 0.1221 0.7503 0.8758
O 0.1637 0.6502 0.5417
O 0.2367 0.5258 0.2133
O 0.4615 0.0736 0.7963
O 0.5148 0.9496 0.4686
O 0.5741 0.8489 0.1344
O 0.7895 0.4178 0.8359
O 0.8178 0.3015 0.5044
O 0.9099 0.1809 0.1746

## Properties
DFT total energy ... -119.19 eV per cell
Size of the total moment ... 12.000 μB/cell
Calculated volume ... 157.7 Å³/cell



[2]
Ti3WF after structural relaxation, computed with PBE with a Hubbard U.

a b c (Å): 4.8832 4.8832 4.8832
angles (deg): 90.00 90.00 90.00
Positions (direct):
Ti 0.0000 0.0000 0.5000
Ti 0.0000 0.5000 0.0000
Ti 0.5000 0.0000 0.0000
W 0.0000 0.0000 0.0000
F 0.5000 0.5000 0.5000

## Properties
DFT total energy ... -27.19 eV per cell
Size of the total moment ... 0.004 μB/cell
Calculated volume ... 116.4 Å³/cell
Fermi-level density of states ... 11.51 states/eV/cell